# Ca2La4Nd3 PBE optimized geometry
# **Crystal system**: monoclinic
data_Ca2La4Nd3
_cell_length_a 8.559
_cell_length_b 9.203
_cell_length_c 9.327
_cell_angle_alpha 90.00
_cell_angle_beta 113.45
_cell_angle_gamma 90.00
_symmetry_space_group_name_H-M 'P 1 21/c 1'
_symmetry_Int_Tables_number 14
loop_
_symmetry_equiv_pos_as_xyz
'x,y,z'
'-x,-y,-z'
'-x,y+1/2,-z+1/2'
'x,-y+1/2,z+1/2'
loop_
_atom_site_label
_atom_site_fract_x
_atom_site_fract_y
_atom_site_fract_z
Ca1 0.172 0.146 0.049
La1 0.075 0.533 0.871
La2 0.476 0.134 0.853
Nd1 0.258 0.684 0.258
Nd2 0.500 0.000 0.500

# Ca2LaNd PBE optimized geometry
# **Excess energy over the best structure of this formula in the dataset**: 86 meV per atom
# **Crystal system**: cubic
data_Ca2LaNd
_cell_length_a 8.509
_cell_length_b 8.509
_cell_length_c 8.509
_cell_angle_alpha 90.00
_cell_angle_beta 90.00
_cell_angle_gamma 90.00
_symmetry_space_group_name_H-M 'F m -3 m'
_symmetry_Int_Tables_number 225
_symmetry_space_group_name_Hall '-F 4 2 3'
loop_
_atom_site_label
_atom_site_fract_x
_atom_site_fract_y
_atom_site_fract_z
Ca1 0.250 0.250 0.250
La1 0.000 0.000 0.000
Nd1 0.000 0.000 0.500

# Ca2La5Nd5 PBE optimized geometry
# **Crystal system**: monoclinic
data_Ca2La5Nd5
_cell_length_a 15.667
_cell_length_b 5.312
_cell_length_c 11.804
_cell_angle_alpha 90.00
_cell_angle_beta 115.98
_cell_angle_gamma 90.00
_symmetry_space_group_name_H-M 'C 1 2/m 1'
_symmetry_Int_Tables_number 12
loop_
_symmetry_equiv_pos_as_xyz
'x,y,z'
'-x,-y,-z'
'-x,y,-z'
'x,-y,z'
'x+1/2,y+1/2,z'
'-x+1/2,-y+1/2,-z'
'-x+1/2,y+1/2,-z'
'x+1/2,-y+1/2,z'
loop_
_atom_site_label
_atom_site_fract_x
_atom_site_fract_y
_atom_site_fract_z
Ca1 0.083 0.000 0.251
La1 0.000 0.000 0.500
La2 0.169 0.000 0.999
La3 0.245 0.000 0.748
Nd1 0.000 0.500 0.000
Nd2 0.087 0.500 0.750
Nd3 0.166 0.500 0.504

# CaLaNd6 PBE optimized geometry
# **Crystal system**: tetragonal
data_CaLaNd6
_cell_length_a 5.256
_cell_length_b 5.256
_cell_length_c 10.444
_cell_angle_alpha 90.00
_cell_angle_beta 90.00
_cell_angle_gamma 90.00
_symmetry_space_group_name_H-M 'P 4/m m m'
_symmetry_Int_Tables_number 123
_symmetry_space_group_name_Hall '-P 4 2'
loop_
_atom_site_label
_atom_site_fract_x
_atom_site_fract_y
_atom_site_fract_z
Ca1 0.000 0.000 0.000
La1 0.000 0.000 0.500
Nd1 0.000 0.500 0.255
Nd2 0.500 0.500 0.000
Nd3 0.500 0.500 0.500

# Ca2La2Nd PBE optimized geometry
# **Excess energy over the best structure of this formula in the dataset**: 173 meV per atom
# **Crystal system**: tetragonal
data_Ca2La2Nd
_cell_length_a 9.609
_cell_length_b 9.609
_cell_length_c 4.158
_cell_angle_alpha 90.00
_cell_angle_beta 90.00
_cell_angle_gamma 90.00
_symmetry_space_group_name_H-M 'P 4/m b m'
_symmetry_Int_Tables_number 127
_symmetry_space_group_name_Hall '-P 4 2ab'
loop_
_atom_site_label
_atom_site_fract_x
_atom_site_fract_y
_atom_site_fract_z
Ca1 0.175 0.325 0.000
La1 0.125 0.625 0.500
Nd1 0.000 0.000 0.500

# CaLaNd PBE optimized geometry
# **Excess energy over the best structure of this formula in the dataset**: 35 meV per atom
# **Crystal system**: orthorhombic
data_CaLaNd
_cell_length_a 3.686
_cell_length_b 33.398
_cell_length_c 3.748
_cell_angle_alpha 90.00
_cell_angle_beta 90.00
_cell_angle_gamma 90.00
_symmetry_space_group_name_H-M 'C m c m'
_symmetry_Int_Tables_number 63
_symmetry_space_group_name_Hall '-C 2c 2'
loop_
_atom_site_label
_atom_site_fract_x
_atom_site_fract_y
_atom_site_fract_z
Ca1 0.000 0.050 0.250
La1 0.000 0.209 0.250
Nd1 0.000 0.368 0.250

Going through the records in order, we get N(E_F) values of 1.35; 1.54; 1.48; 1.70; 1.53; 1.56 states/eV per atom.
Going through the records in order, we get formation energy values of 3.79; 2.53; 1.01; 1.03; 4.67; 1.49 kcal/mol of atoms.
Going through the records in order, we get E values of -36.538; -13.260; -51.952; -35.178; -17.614; -11.503 eV/f.u..